No. 1
Below is an optimized crystal structure of Er4Pd15Au, with properties calculated at the PBE-GGA level.

a b c (Å): 4.0758 4.0758 20.5062
angles (deg): 90.00 90.00 90.00
Last column: nearest neighbours and their distance in Å.
Fractional coordinates of all 20 atoms:
Er: 0.0000 0.0000 0.1977  12 Pd 2.88-2.90
Er: 0.0000 0.0000 0.3995  12 Pd 2.88-2.91
Er: 0.0000 0.0000 0.6005  12 Pd 2.88-2.91
Er: 0.0000 0.0000 0.8023  12 Pd 2.88-2.90
Pd: 0.5000 0.5000 0.0000  8 Pd 2.85, 4 Au 2.88
Pd: 0.5000 0.5000 0.1977  4 Er 2.88, 8 Pd 2.90
Pd: 0.5000 0.5000 0.3986  4 Er 2.88, 8 Pd 2.90-2.91
Pd: 0.5000 0.5000 0.6014  4 Er 2.88, 8 Pd 2.90-2.91
Pd: 0.5000 0.5000 0.8023  4 Er 2.88, 8 Pd 2.90
Pd: 0.5000 0.0000 0.0971  8 Pd 2.85-2.90, 2 Au 2.85, 2 Er 2.90
Pd: 0.5000 0.0000 0.2983  8 Pd 2.88-2.90, 4 Er 2.90-2.91
Pd: 0.5000 0.0000 0.5000  8 Pd 2.88-2.91, 4 Er 2.90
Pd: 0.5000 0.0000 0.7017  8 Pd 2.88-2.90, 4 Er 2.90-2.91
Pd: 0.5000 0.0000 0.9029  2 Au 2.85, 8 Pd 2.85-2.90, 2 Er 2.90
Pd: 0.0000 0.5000 0.0971  8 Pd 2.85-2.90, 2 Au 2.85, 2 Er 2.90
Pd: 0.0000 0.5000 0.2983  8 Pd 2.88-2.90, 4 Er 2.90-2.91
Pd: 0.0000 0.5000 0.5000  8 Pd 2.88-2.91, 4 Er 2.90
Pd: 0.0000 0.5000 0.7017  8 Pd 2.88-2.90, 4 Er 2.90-2.91
Pd: 0.0000 0.5000 0.9029  8 Pd 2.85-2.90, 2 Au 2.85, 2 Er 2.90
Au: 0.0000 0.0000 0.0000  12 Pd 2.85-2.88

M_tot in μB per formula unit: 0.00
SG: P4/mmm (123)

No. 2
Below is an optimized crystal structure of Er4Pd12Au, with properties calculated at the PBE-GGA level.

a b c (Å): 7.3793 7.3793 7.3793
angles (deg): 109.47 109.47 109.47
Last column: nearest neighbours and their distance in Å.
Fractional coordinates of all 17 atoms:
Er: 0.0000 0.0000 0.5000  12 Pd 3.01-3.05
Er: 0.5000 0.0000 0.0000  12 Pd 3.01-3.05
Er: 0.5000 0.5000 0.5000  12 Pd 3.01-3.05
Er: 0.0000 0.5000 0.0000  12 Pd 3.01-3.05
Pd: 0.0000 0.3033 0.3033  1 Au 2.58, 4 Pd 2.71
Pd: 0.0000 0.6967 0.6967  1 Au 2.58, 4 Pd 2.71
Pd: 0.6967 0.6967 0.0000  1 Au 2.58, 4 Pd 2.71
Pd: 0.3033 0.3033 0.0000  1 Au 2.58, 4 Pd 2.71
Pd: 0.3033 0.0000 0.3033  1 Au 2.58, 4 Pd 2.71
Pd: 0.6967 0.0000 0.6967  1 Au 2.58, 4 Pd 2.71
Pd: 0.5000 0.2500 0.7500  8 Pd 2.71-3.01, 4 Er 3.01
Pd: 0.5000 0.7500 0.2500  8 Pd 2.71-3.01, 4 Er 3.01
Pd: 0.7500 0.2500 0.5000  8 Pd 2.71-3.01, 4 Er 3.01
Pd: 0.2500 0.7500 0.5000  8 Pd 2.71-3.01, 4 Er 3.01
Pd: 0.7500 0.5000 0.2500  8 Pd 2.71-3.01, 4 Er 3.01
Pd: 0.2500 0.5000 0.7500  8 Pd 2.71-3.01, 4 Er 3.01
Au: 0.0000 0.0000 0.0000  6 Pd 2.58

M_tot in μB per formula unit: 0.00
SG: Im-3m (229)

No. 3
Below is an optimized crystal structure of Er2Pd5Au2, with properties calculated at the PBE-GGA level.

a b c (Å): 4.9121 9.4528 8.9502
angles (deg): 121.88 105.93 90.00
Last column: nearest neighbours and their distance in Å.
Fractional coordinates of all 18 atoms:
Er: 0.0891 0.6922 0.2542  4 Pd 2.78-2.84, 3 Au 2.91-3.06
Er: 0.9109 0.4380 0.7458  4 Pd 2.78-2.84, 3 Au 2.91-3.06
Er: 0.6651 0.1922 0.2542  4 Pd 2.78-2.84, 3 Au 2.91-3.06
Er: 0.3349 0.9380 0.7458  4 Pd 2.78-2.84, 3 Au 2.91-3.06
Pd: 0.2054 0.7702 0.9106  2 Au 2.74, 6 Pd 2.77-2.95, 2 Er 2.84
Pd: 0.7946 0.8596 0.0894  2 Au 2.74, 6 Pd 2.77-2.95, 2 Er 2.84
Pd: 0.2052 0.2702 0.9106  2 Au 2.74, 6 Pd 2.77-2.95, 2 Er 2.84
Pd: 0.7948 0.3596 0.0894  2 Au 2.74, 6 Pd 2.77-2.95, 2 Er 2.84
Pd: 0.4010 0.9665 0.3025  2 Er 2.78, 6 Pd 2.82-2.90, 2 Au 2.93
Pd: 0.5990 0.6640 0.6975  2 Er 2.78, 6 Pd 2.82-2.90, 2 Au 2.93
Pd: 0.4015 0.4665 0.3025  2 Er 2.78, 6 Pd 2.82-2.90, 2 Au 2.93
Pd: 0.5985 0.1640 0.6975  2 Er 2.78, 6 Pd 2.82-2.90, 2 Au 2.93
Pd: 0.0002 0.5653 0.5000  2 Au 2.78, 6 Pd 2.84-2.95
Pd: 0.9998 0.0653 0.5000  2 Au 2.78, 6 Pd 2.84-2.95
Au: 0.0000 0.0648 0.0000  4 Pd 2.74, 2 Er 2.91
Au: 0.5000 0.5648 0.0000  4 Pd 2.74, 2 Er 2.91
Au: 0.2965 0.3153 0.5000  6 Pd 2.78-2.93, 4 Er 2.99-3.06
Au: 0.7035 0.8153 0.5000  6 Pd 2.78-2.93, 4 Er 2.99-3.06

M_tot in μB per formula unit: 0.00
SG: Imma (74)

No. 4
Below is an optimized crystal structure of ErPd8Au5, with properties calculated at the PBE-GGA level.

a b c (Å): 6.9203 6.9203 6.9203
angles (deg): 112.95 102.71 112.95
Last column: nearest neighbours and their distance in Å.
Fractional coordinates of all 14 atoms:
Er: 0.2500 0.5000 0.7500  4 Pd 2.68
Pd: 0.1472 0.7461 0.0775  5 Au 2.66-2.90, 1 Er 2.68, 3 Pd 2.76-2.85
Pd: 0.9225 0.0697 0.6686  5 Au 2.66-2.90, 1 Er 2.68, 3 Pd 2.76-2.85
Pd: 0.7154 0.2624 0.3079  5 Pd 2.76-2.98, 5 Au 2.76-2.88
Pd: 0.6921 0.4075 0.9545  5 Pd 2.76-2.98, 5 Au 2.76-2.88
Pd: 0.5471 0.5925 0.2846  5 Pd 2.76-2.98, 5 Au 2.76-2.88
Pd: 0.5989 0.9303 0.8528  5 Au 2.66-2.90, 1 Er 2.68, 3 Pd 2.76-2.85
Pd: 0.3314 0.2539 0.4011  5 Au 2.66-2.90, 1 Er 2.68, 3 Pd 2.76-2.85
Pd: 0.0455 0.7376 0.4529  5 Pd 2.76-2.98, 5 Au 2.76-2.88
Au: 0.0708 0.3574 0.1471  8 Pd 2.73-2.90, 2 Au 3.04
Au: 0.8529 0.9237 0.2103  8 Pd 2.73-2.90, 2 Au 3.04
Au: 0.7897 0.6426 0.7134  8 Pd 2.73-2.90, 2 Au 3.04
Au: 0.5000 0.0000 0.5000  8 Pd 2.66-2.82
Au: 0.2866 0.0763 0.9292  8 Pd 2.73-2.90, 2 Au 3.04

M_tot in μB per formula unit: 0.00
SG: I-4 (82)

No. 5
Below is an optimized crystal structure of Er2PdAu, with properties calculated at the PBE-GGA level.

a b c (Å): 3.5131 3.5131 7.1024
angles (deg): 90.00 90.00 90.00
Last column: nearest neighbours and their distance in Å.
Fractional coordinates of all 4 atoms:
Au: 0.5000 0.5000 0.5000  8 Er 3.07
Pd: 0.5000 0.5000 0.0000  8 Er 3.03
Er: 0.0000 0.0000 0.7547  4 Pd 3.03, 4 Au 3.07
Er: 0.0000 0.0000 0.2453  4 Pd 3.03, 4 Au 3.07

M_tot in μB per formula unit: 0.00
SG: P4/mmm (123)

No. 6
Below is an optimized crystal structure of ErPd5Au6, with properties calculated at the PBE-GGA level.

a b c (Å): 4.1489 8.1363 7.6762
angles (deg): 122.00 105.68 90.00
Last column: nearest neighbours and their distance in Å.
Fractional coordinates of all 12 atoms:
Au: 0.8309 0.5740 0.6619  7 Pd 2.87-2.95, 4 Au 2.88-2.94, 1 Er 2.95
Au: 0.8309 0.0878 0.6619  7 Pd 2.87-2.95, 4 Au 2.88-2.94, 1 Er 2.95
Au: 0.5000 0.7369 0.0000  6 Pd 2.83-2.92, 4 Au 2.94, 2 Er 2.98
Au: 0.5000 0.2631 0.0000  6 Pd 2.83-2.92, 4 Au 2.94, 2 Er 2.98
Au: 0.1691 0.9122 0.3381  7 Pd 2.87-2.95, 4 Au 2.88-2.94, 1 Er 2.95
Au: 0.1691 0.4260 0.3381  7 Pd 2.87-2.95, 4 Au 2.88-2.94, 1 Er 2.95
Pd: 0.6604 0.1604 0.3208  2 Er 2.87, 8 Au 2.89-2.95, 2 Pd 2.95
Pd: 0.3301 0.3301 0.6601  8 Au 2.85-2.88, 4 Pd 2.95
Pd: 0.0000 0.5000 0.0000  8 Au 2.83-2.87, 4 Pd 2.95
Pd: 0.6699 0.6699 0.3399  8 Au 2.85-2.88, 4 Pd 2.95
Pd: 0.3396 0.8396 0.6792  2 Er 2.87, 8 Au 2.89-2.95, 2 Pd 2.95
Er: 0.0000 0.0000 0.0000  4 Pd 2.87, 8 Au 2.95-2.98

Polymorph energy (0 for the lowest one) in meV per atom: 6.6
M_tot in μB per formula unit: 0.00
SG: Immm (71)

no.,D(E_F) (states/eV/f.u.),DFT formation energy (eV per atom)
1,18.89,-0.725
2,3.10,-0.764
3,4.21,-0.614
4,6.13,-0.152
5,2.69,-0.901
6,5.51,-0.334